1.
{"formula": "Mg2TcOs", "functional": "PBEsol", "state": "optimized geometry", "crystal_system": "tetragonal", "spacegroup": "No. 99", "cell": [[-2.073, 1.816, 1.104], [-2.023, -2.158, -0.248], [1.611, -2.291, 6.791]], "species": ["Os", "Tc", "Mg", "Mg"], "frac_coords": [[0.000, 0.000, 0.522], [0.500, 0.500, 0.725], [0.000, 0.000, 0.972], [0.500, 0.500, 0.281]]}

=====

2.
{"formula": "ZnPb2WO6", "functional": "PBEsol", "state": "optimized geometry", "crystal_system": "cubic", "formation_energy_uncorrected_ev_per_fu": -15.95, "spacegroup": "No. 225", "cell": [[5.640, 0.000, 0.000], [2.820, 4.884, 0.000], [2.820, 1.628, 4.605]], "species": ["O", "O", "W", "Pb", "Pb", "O", "O", "Zn", "O", "O"], "frac_coords": [[0.259, 0.259, 0.741], [0.741, 0.259, 0.259], [0.500, 0.500, 0.500], [0.250, 0.250, 0.250], [0.750, 0.750, 0.750], [0.741, 0.259, 0.741], [0.741, 0.741, 0.259], [0.000, 0.000, 0.000], [0.259, 0.741, 0.741], [0.259, 0.741, 0.259]]}

=====

3.
{"formula": "InNiP2", "functional": "PBEsol", "state": "optimized geometry", "crystal_system": "cubic", "spacegroup": "No. 225", "cell": [[4.440, 0.000, 0.000], [2.220, 3.845, 0.000], [2.220, 1.282, 3.625]], "species": ["P", "In", "Ni", "P"], "frac_coords": [[0.250, 0.250, 0.250], [0.000, 0.000, 0.000], [0.500, 0.500, 0.500], [0.750, 0.750, 0.750]]}

=====

4.
{"formula": "ZnCr2S4", "functional": "PBEsol", "state": "optimized geometry", "crystal_system": "cubic", "formation_energy_uncorrected_ev_per_fu": -5.22, "spacegroup": "No. 227", "cell": [[6.982, 0.000, 0.000], [3.491, 6.047, 0.000], [3.491, 2.016, 5.701]], "species": ["S", "S", "S", "Zn", "Cr", "Zn", "S", "S", "Cr", "S", "S", "Cr", "Cr", "S"], "frac_coords": [[0.885, 0.885, 0.344], [0.906, 0.365, 0.365], [0.365, 0.906, 0.365], [0.500, 0.500, 0.500], [0.625, 0.125, 0.125], [0.750, 0.750, 0.750], [0.365, 0.365, 0.906], [0.885, 0.344, 0.885], [0.125, 0.125, 0.125], [0.885, 0.885, 0.885], [0.344, 0.885, 0.885], [0.125, 0.625, 0.125], [0.125, 0.125, 0.625], [0.365, 0.365, 0.365]]}

=====

5.
{"formula": "ZrCuW2", "functional": "PBEsol", "state": "optimized geometry", "crystal_system": "tetragonal", "spacegroup": "No. 123", "cell": [[-0.405, -3.260, -0.137], [2.717, -0.261, -1.832], [3.264, -0.613, 4.928]], "species": ["Zr", "Cu", "W", "W"], "frac_coords": [[0.500, 0.500, 0.000], [0.500, 0.500, 0.500], [0.000, 0.000, 0.710], [0.000, 0.000, 0.290]]}

=====

6.
{"formula": "CrCo6Cu", "functional": "PBEsol", "state": "optimized geometry", "crystal_system": "orthorhombic", "spacegroup": "No. 65", "cell": [[6.012, 0.004, 0.000], [-2.012, 5.665, 0.000], [0.000, 0.000, 9.829]], "species": ["Co", "Co", "Co", "Co", "Co", "Co", "Co", "Co", "Co", "Co", "Cu", "Co", "Co", "Co", "Co", "Cu", "Cr", "Cu", "Cr", "Co", "Co", "Co", "Co", "Cu", "Cr", "Co", "Co", "Co", "Co", "Co", "Co", "Cr"], "frac_coords": [[0.122, 0.374, 0.377], [0.374, 0.122, 0.623], [0.876, 0.626, 0.126], [0.878, 0.626, 0.623], [0.626, 0.878, 0.377], [0.751, 0.249, 0.747], [0.374, 0.124, 0.126], [0.124, 0.374, 0.874], [0.878, 0.626, 0.377], [0.626, 0.876, 0.874], [0.751, 0.249, 0.000], [0.249, 0.751, 0.747], [0.374, 0.122, 0.377], [0.751, 0.249, 0.253], [0.500, 0.500, 0.500], [0.500, 0.500, 0.250], [0.246, 0.754, 0.500], [0.500, 0.500, 0.750], [0.000, 0.000, 0.751], [0.000, 0.000, 0.000], [0.626, 0.878, 0.623], [0.876, 0.626, 0.874], [0.626, 0.876, 0.126], [0.249, 0.751, 0.000], [0.000, 0.000, 0.249], [0.374, 0.124, 0.874], [0.249, 0.751, 0.253], [0.000, 0.000, 0.500], [0.500, 0.500, 0.000], [0.124, 0.374, 0.126], [0.122, 0.374, 0.623], [0.754, 0.246, 0.500]]}

=====

7.
{"formula": "BaMgGe", "functional": "PBEsol", "state": "optimized geometry", "crystal_system": "tetragonal", "spacegroup": "No. 129", "cell": [[4.636, 0.000, 0.000], [0.000, 4.636, 0.000], [0.000, 0.000, 7.810]], "species": ["Ba", "Ba", "Ge", "Ge", "Mg", "Mg"], "frac_coords": [[0.500, 0.000, 0.659], [0.000, 0.500, 0.341], [0.000, 0.500, 0.792], [0.500, 0.000, 0.208], [0.000, 0.000, 0.000], [0.500, 0.500, 0.000]]}

=====

8.
{"formula": "GaTcMo2Pb", "functional": "PBEsol", "state": "optimized geometry", "crystal_system": "tetragonal", "spacegroup": "No. 123", "cell": [[-0.465, -0.719, 4.511], [4.419, -1.217, 0.261], [1.236, 4.674, 0.873]], "species": ["Pb", "Mo", "Ga", "Tc", "Mo"], "frac_coords": [[0.000, 0.000, 0.500], [0.500, 0.000, 0.000], [0.000, 0.000, 0.000], [0.500, 0.500, 0.500], [0.000, 0.500, 0.000]]}

=====

9.
{"formula": "ThB4Mo", "functional": "PBEsol", "state": "optimized geometry", "crystal_system": "orthorhombic", "spacegroup": "No. 65", "cell": [[-0.488, -3.638, 0.696], [5.507, -0.252, 2.545], [-3.704, 1.378, 4.609]], "species": ["B", "Mo", "B", "B", "B", "Th", "B", "B", "B", "B", "Th", "Mo"], "frac_coords": [[0.500, 0.622, 0.934], [0.000, 0.829, 0.829], [0.500, 0.066, 0.378], [0.500, 0.910, 0.090], [0.500, 0.378, 0.066], [0.000, 0.302, 0.698], [0.500, 0.372, 0.372], [0.500, 0.090, 0.910], [0.500, 0.628, 0.628], [0.500, 0.934, 0.622], [0.000, 0.698, 0.302], [0.000, 0.171, 0.171]]}

=====

10.
{"formula": "ReAs2PdBr", "functional": "PBEsol", "state": "optimized geometry", "crystal_system": "tetragonal", "formation_energy_uncorrected_ev_per_fu": 4.18, "spacegroup": "No. 123", "cell": [[4.654, 0.000, 0.000], [0.000, 4.654, 0.000], [0.000, 0.000, 5.326]], "species": ["As", "As", "Pd", "Br", "Re"], "frac_coords": [[0.000, 0.500, 0.000], [0.500, 0.000, 0.000], [0.500, 0.500, 0.500], [0.000, 0.000, 0.500], [0.000, 0.000, 0.000]]}

=====

11.
{"formula": "RbSn2Os2", "functional": "PBEsol", "state": "optimized geometry", "crystal_system": "tetragonal", "spacegroup": "No. 139", "cell": [[-4.733, -0.393, -0.307], [0.456, -2.220, -4.185], [2.353, -3.133, 4.624]], "species": ["Os", "Rb", "Sn", "Sn", "Os"], "frac_coords": [[0.384, 0.384, 0.769], [0.000, 0.000, 0.000], [0.750, 0.250, 0.500], [0.250, 0.750, 0.500], [0.616, 0.616, 0.231]]}

=====

12.
{"formula": "MgMoPb2", "functional": "PBEsol", "state": "optimized geometry", "crystal_system": "orthorhombic", "spacegroup": "No. 35", "cell": [[-0.061, 2.250, 2.045], [-1.521, -2.311, 1.264], [8.951, -3.587, 4.213]], "species": ["Pb", "Mg", "Mo", "Pb"], "frac_coords": [[0.500, 0.500, 0.720], [0.000, 0.000, 0.464], [0.500, 0.500, 0.266], [0.000, 0.000, 0.050]]}

=====

no.,uncorrected energy (eV per atom)
1,-6.68
2,-7.08
3,-4.74
4,-6.40
5,-9.88
6,-7.55
7,-3.50
8,-6.40
9,-8.63
10,-5.44
11,-6.30
12,-4.92